The following is a PBE-GGA calculation of a geometry-optimized Sc4ZnSnC2 structure, from OQMD.

Cell lengths 3.3451, 3.3451, 14.7418 Å; angles 90.00, 90.00, 120.00 degrees
Sites, in units of the cell vectors:
Sc 0.0000 0.0000 0.1634
Sc 0.0000 0.0000 0.8366
Sc 0.3333 0.6667 0.3293
Sc 0.3333 0.6667 0.6707
Zn 0.3333 0.6667 0.0000
Sn 0.0000 0.0000 0.5000
C 0.6667 0.3333 0.2472
C 0.6667 0.3333 0.7528

For the total energy, the calculation gives -53.22 eV per cell.


The following is a PBE-GGA calculation of a geometry-optimized CsPrLuTe3 structure, from OQMD.

Cell lengths 9.0704, 9.0704, 12.2242 Å; angles 90.00, 90.00, 149.54 degrees
Sites, in units of the cell vectors:
Cs 0.2421 0.7579 0.7500
Cs 0.7579 0.2421 0.2500
Pr 0.5000 0.5000 0.0000
Pr 0.5000 0.5000 0.5000
Lu 0.0352 0.9648 0.2500
Lu 0.9648 0.0352 0.7500
Te 0.1243 0.8757 0.0538
Te 0.1243 0.8757 0.4462
Te 0.4387 0.5613 0.2500
Te 0.5613 0.4387 0.7500
Te 0.8757 0.1243 0.5538
Te 0.8757 0.1243 0.9462

Its energy above the most stable polymorph in this dataset is 0.0 meV/atom.


The following is a PBE-GGA calculation of a geometry-optimized HfPPdO structure, from OQMD.

Cell lengths 3.7169, 3.7169, 7.9859 Å; angles 90.00, 90.00, 90.00 degrees
Sites, in units of the cell vectors:
Hf 0.2500 0.2500 0.1505
Hf 0.7500 0.7500 0.8495
P 0.2500 0.2500 0.7017
P 0.7500 0.7500 0.2983
Pd 0.2500 0.7500 0.5000
Pd 0.7500 0.2500 0.5000
O 0.2500 0.7500 0.0000
O 0.7500 0.2500 0.0000

Its energy above the most stable polymorph in this dataset is 0.0 meV/atom.


The following is a PBE-GGA calculation of a geometry-optimized NpPt structure, from OQMD.

Cell lengths 4.3644, 4.3644, 5.5348 Å; angles 90.00, 90.00, 120.00 degrees
Sites, in units of the cell vectors:
Np 0.3333 0.6667 0.2500
Np 0.6667 0.3333 0.7500
Pt 0.0000 0.0000 0.0000
Pt 0.0000 0.0000 0.5000

The calculation puts the calculated formation energy at -39 kJ/mol of atoms.


The following is a PBE-GGA calculation of a geometry-optimized Zr2CdAg structure, from OQMD.

Cell lengths 3.1583, 3.1583, 8.5695 Å; angles 90.00, 90.00, 90.00 degrees
Sites, in units of the cell vectors:
Zr 0.0000 0.0000 0.0000
Zr 0.5000 0.5000 0.2598
Cd 0.0000 0.0000 0.5283
Ag 0.5000 0.5000 0.7555

The calculation puts the calculated formation energy at -12 kJ/mol of atoms.


The following is a PBE-GGA calculation of a geometry-optimized Al11Os3 structure, from OQMD.

Cell lengths 7.7799, 7.7799, 7.7799 Å; angles 148.37, 115.19, 73.92 degrees
Sites, in units of the cell vectors:
Al 0.0000 0.0000 0.0000
Al 0.1266 0.2872 0.8394
Al 0.1694 0.6694 0.5000
Al 0.2279 0.9015 0.3264
Al 0.4249 0.0985 0.3264
Al 0.4478 0.2872 0.1606
Al 0.5522 0.7128 0.8394
Al 0.5751 0.9015 0.6736
Al 0.7721 0.0985 0.6736
Al 0.8306 0.3306 0.5000
Al 0.8734 0.7128 0.1606
Os 0.1819 0.5000 0.6819
Os 0.5000 0.5000 0.0000
Os 0.8181 0.5000 0.3181

For the total energy, the calculation gives -75.19 eV per cell.


The following is a PBE-GGA calculation of a geometry-optimized Al2TcW structure, from OQMD.

Cell lengths 3.1495, 3.1495, 5.9872 Å; angles 90.00, 90.00, 90.00 degrees
Sites, in units of the cell vectors:
Al 0.0000 0.0000 0.0000
Al 0.5000 0.5000 0.2576
Tc 0.5000 0.5000 0.7641
W 0.0000 0.0000 0.5132

Its energy above the most stable polymorph in this dataset is 0.0 meV/atom.


The following is a PBE-GGA calculation of a geometry-optimized Hf2GaFe structure, from OQMD.

Cell lengths 6.4362, 6.4362, 6.4362 Å; angles 90.00, 90.00, 90.00 degrees
Sites, in units of the cell vectors:
Hf 0.0000 0.0000 0.0000
Hf 0.0000 0.5000 0.5000
Hf 0.2500 0.2500 0.2500
Hf 0.2500 0.7500 0.7500
Hf 0.5000 0.0000 0.5000
Hf 0.5000 0.5000 0.0000
Hf 0.7500 0.2500 0.7500
Hf 0.7500 0.7500 0.2500
Ga 0.0000 0.0000 0.5000
Ga 0.0000 0.5000 0.0000
Ga 0.5000 0.0000 0.0000
Ga 0.5000 0.5000 0.5000
Fe 0.2500 0.2500 0.7500
Fe 0.2500 0.7500 0.2500
Fe 0.7500 0.2500 0.2500
Fe 0.7500 0.7500 0.7500

For the total energy, the calculation gives -123.90 eV per cell.


The following is a PBE-GGA calculation of a geometry-optimized NaHfTe3Au structure, from OQMD.

Cell lengths 7.6603, 7.6603, 11.0231 Å; angles 90.00, 90.00, 149.14 degrees
Sites, in units of the cell vectors:
Na 0.2238 0.7762 0.7500
Na 0.7762 0.2238 0.2500
Hf 0.0000 0.0000 0.0000
Hf 0.0000 0.0000 0.5000
Te 0.0870 0.9130 0.2500
Te 0.3614 0.6386 0.0396
Te 0.3614 0.6386 0.4604
Te 0.6386 0.3614 0.5396
Te 0.6386 0.3614 0.9604
Te 0.9130 0.0870 0.7500
Au 0.4578 0.5422 0.2500
Au 0.5422 0.4578 0.7500

Its energy above the most stable polymorph in this dataset is 46.6 meV/atom.


The following is a PBE-GGA calculation of a geometry-optimized B2Pd3Pt structure, from OQMD.

Cell lengths 4.7567, 3.1776, 5.1822 Å; angles 90.00, 91.15, 90.00 degrees
Sites, in units of the cell vectors:
B 0.0000 0.0000 0.0000
B 0.4906 0.5000 0.4928
Pd 0.2437 0.5000 0.8409
Pd 0.7478 0.0000 0.6541
Pd 0.7510 0.5000 0.1505
Pt 0.2531 0.0000 0.3408

For the total energy, the calculation gives -36.64 eV per cell.


The following is a PBE-GGA calculation of a geometry-optimized Hf4BiC3 structure, from OQMD.

Cell lengths 3.3587, 3.3587, 25.0866 Å; angles 90.00, 90.00, 120.00 degrees
Sites, in units of the cell vectors:
Hf 0.0000 0.0000 0.1526
Hf 0.0000 0.0000 0.3474
Hf 0.0000 0.0000 0.6526
Hf 0.0000 0.0000 0.8474
Hf 0.3333 0.6667 0.0510
Hf 0.3333 0.6667 0.4490
Hf 0.6667 0.3333 0.5510
Hf 0.6667 0.3333 0.9490
Bi 0.3333 0.6667 0.2500
Bi 0.6667 0.3333 0.7500
C 0.0000 0.0000 0.0000
C 0.0000 0.0000 0.5000
C 0.3333 0.6667 0.6078
C 0.3333 0.6667 0.8922
C 0.6667 0.3333 0.1078
C 0.6667 0.3333 0.3922

For the total energy, the calculation gives -155.46 eV per cell.


The following is a PBE-GGA calculation of a geometry-optimized PmTaPt structure, from OQMD.

Cell lengths 6.6322, 6.6322, 6.6322 Å; angles 90.00, 90.00, 90.00 degrees
Sites, in units of the cell vectors:
Pm 0.0000 0.0000 0.0000
Pm 0.0000 0.5000 0.5000
Pm 0.5000 0.0000 0.5000
Pm 0.5000 0.5000 0.0000
Ta 0.0000 0.0000 0.5000
Ta 0.0000 0.5000 0.0000
Ta 0.5000 0.0000 0.0000
Ta 0.5000 0.5000 0.5000
Pt 0.2500 0.2500 0.2500
Pt 0.2500 0.7500 0.7500
Pt 0.7500 0.2500 0.7500
Pt 0.7500 0.7500 0.2500

The calculation puts the calculated formation energy at 3 kJ/mol of atoms.